# SbSI2 PBE relaxed
data_SbSI2
_chemical_formula_sum 'Sb4 S4 I8'
_cell_length_a 7.605
_cell_length_b 7.605
_cell_length_c 7.605
_cell_angle_alpha 90.00
_cell_angle_beta 90.00
_cell_angle_gamma 90.00
_space_group_name_H-M_alt 'F m -3 m'
_space_group_IT_number 225
_space_group_name_Hall '-F 4 2 3'
loop_
_atom_site_label
_atom_site_fract_x
_atom_site_fract_y
_atom_site_fract_z
_atom_site_occupancy
Sb1 0.000 0.000 0.000 1
S1 0.000 0.000 0.500 1
I1 0.250 0.250 0.250 1
# * relative energy among the computed polymorphs: 2.76 eV per formula unit
# * ΔE_f (raw): 0.528 eV per atom
# * spin magnetization: 0.2453 μB/atom

=====

# Ta2AgRh PBE relaxed
data_Ta2AgRh
_chemical_formula_sum 'Ta6 Ag3 Rh3'
_cell_length_a 2.9131
_cell_length_b 2.9131
_cell_length_c 28.3669
_cell_angle_alpha 90.00
_cell_angle_beta 90.00
_cell_angle_gamma 120.00
_space_group_name_H-M_alt 'R 3 m'
_space_group_IT_number 160
_space_group_name_Hall 'R 3 -2"'
loop_
_atom_site_label
_atom_site_fract_x
_atom_site_fract_y
_atom_site_fract_z
_atom_site_occupancy
Ta1 0.0000 0.0000 0.0000 1
Ta2 0.0000 0.0000 0.2444 1
Ag1 0.0000 0.0000 0.7535 1
Rh1 0.0000 0.0000 0.5052 1
# * formation energy: 0.05 eV/atom
# * spin magnetization: 0.0000 μB/atom